AsRuNF2 after structural relaxation. Source: Alexandria, functional GGA-PBE.

Cell: 4.291 4.291 3.801 Å, 90.00 90.00 90.00°
Element x y z (fractional)
As (0.000, 0.000, 0.000)
Ru (0.500, 0.500, 0.500)
N (0.000, 0.000, 0.500)
F (0.000, 0.500, 0.000)
F (0.500, 0.000, 0.000)

Calculated values
Distance to the lowest polymorph of the same formula in eV/atom: 0.359
Uncorrected formation energy in meV per atom: 364.3


Sc8Mn after structural relaxation. Source: Alexandria, functional GGA-PBE.

Cell: 7.132 7.132 7.132 Å, 95.81 95.81 142.90°
Element x y z (fractional)
Sc (0.000, 0.324, 0.324)
Sc (0.000, 0.676, 0.676)
Sc (0.324, 0.000, 0.324)
Sc (0.342, 0.342, 0.684)
Sc (0.342, 0.658, 0.000)
Sc (0.658, 0.342, 0.000)
Sc (0.658, 0.658, 0.316)
Sc (0.676, 0.000, 0.676)
Mn (0.000, 0.000, 0.000)

Calculated values
ΔE_f in eV/atom: 0.10


K2ScNi after structural relaxation. Source: Alexandria, functional GGA-PBE.

Cell: 3.614 4.095 20.452 Å, 90.00 94.57 90.00°
Element x y z (fractional)
K (0.000, 0.000, 0.000)
K (0.185, 0.500, 0.414)
K (0.409, 0.500, 0.805)
K (0.804, 0.000, 0.610)
Sc (0.565, 0.500, 0.149)
Sc (0.617, 0.000, 0.265)
Ni (0.074, 0.000, 0.170)
Ni (0.107, 0.500, 0.244)

Calculated values
ΔE_f in eV/atom: -0.03
Distance to the lowest polymorph of the same formula in eV/atom: 0.000


LiPSe2 after structural relaxation. Source: Alexandria, functional GGA-PBE.

Cell: 5.812 7.101 3.508 Å, 90.00 90.00 90.00°
Element x y z (fractional)
Li (0.000, 0.000, 0.000)
Li (0.500, 0.500, 0.000)
P (0.000, 0.500, 0.000)
P (0.500, 0.000, 0.000)
Se (0.250, 0.250, 0.500)
Se (0.250, 0.750, 0.500)
Se (0.750, 0.250, 0.500)
Se (0.750, 0.750, 0.500)

Calculated values
Uncorrected formation energy in meV per atom: -3.7


Sn2Hg3Pb8 after structural relaxation. Source: Alexandria, functional GGA-PBE.

Cell: 9.290 9.290 7.616 Å, 102.16 102.16 43.12°
Element x y z (fractional)
Sn (0.242, 0.242, 0.254)
Sn (0.758, 0.758, 0.746)
Hg (0.280, 0.720, 0.500)
Hg (0.500, 0.500, 0.000)
Hg (0.720, 0.280, 0.500)
Pb (0.105, 0.607, 0.069)
Pb (0.143, 0.143, 0.550)
Pb (0.357, 0.357, 0.648)
Pb (0.393, 0.895, 0.931)
Pb (0.607, 0.105, 0.069)
Pb (0.643, 0.643, 0.352)
Pb (0.857, 0.857, 0.450)
Pb (0.895, 0.393, 0.931)

Calculated values
ΔE_f in eV/atom: 0.12
Distance to the lowest polymorph of the same formula in eV/atom: 0.058


MoAsOs2Cl after structural relaxation. Source: Alexandria, functional GGA-PBE.

Cell: 4.400 4.400 4.435 Å, 90.00 90.00 90.00°
Element x y z (fractional)
Mo (0.000, 0.000, 0.000)
As (0.500, 0.500, 0.000)
Os (0.000, 0.500, 0.500)
Os (0.500, 0.000, 0.500)
Cl (0.000, 0.000, 0.500)

Calculated values
Uncorrected formation energy in meV per atom: 1719.1


InHPd2 after structural relaxation. Source: Alexandria, functional GGA-PBE.

Cell: 3.071 5.442 7.314 Å, 110.02 101.81 90.31°
Element x y z (fractional)
In (0.249, 0.247, 0.499)
In (0.751, 0.753, 0.501)
H (0.451, 0.772, 0.902)
H (0.549, 0.228, 0.098)
Pd (0.090, 0.436, 0.178)
Pd (0.411, 0.073, 0.821)
Pd (0.589, 0.927, 0.179)
Pd (0.910, 0.564, 0.822)

Calculated values
Distance to the lowest polymorph of the same formula in eV/atom: 0.109


CsCo2CuGe after structural relaxation. Source: Alexandria, functional GGA-PBE.

Cell: 4.439 4.439 6.216 Å, 90.00 90.00 90.00°
Element x y z (fractional)
Cs (0.000, 0.000, 0.000)
Co (0.000, 0.500, 0.500)
Co (0.500, 0.000, 0.500)
Cu (0.500, 0.500, 0.000)
Ge (0.000, 0.000, 0.500)

Calculated values
ΔE_f in eV/atom: 1.19


TaSnPt2 after structural relaxation. Source: Alexandria, functional GGA-PBE.

Cell: 3.001 3.001 8.027 Å, 90.00 90.00 90.00°
Element x y z (fractional)
Ta (0.000, 0.000, 0.000)
Sn (0.000, 0.000, 0.500)
Pt (0.500, 0.500, 0.226)
Pt (0.500, 0.500, 0.774)

Calculated values
ΔE_f in eV/atom: -0.42


| no. | ρ (Mg/m³) |
| --- | --- |
| 1 | 5.41 |
| 2 | 3.32 |
| 3 | 2.00 |
| 4 | 4.49 |
| 5 | 9.48 |
| 6 | 11.35 |
| 7 | 9.74 |
| 8 | 5.25 |
| 9 | 15.84 |